Record 1
# YTcMo2 | the Alexandria database | PBEsol | optimized geometry
# **Polymorph energy (0 for the lowest one)**: 35 meV/atom
# **Symmetry**: Pmmm
data_YTcMo2
_symmetry_space_group_name_H-M 'P 1'
_symmetry_Int_Tables_number 1
_symmetry_space_group_name_Hall 'P 1'
_cell_length_a 3.199
_cell_length_b 4.494
_cell_length_c 4.688
_cell_angle_alpha 90.00
_cell_angle_beta 90.00
_cell_angle_gamma 90.00
loop_
_atom_site_label
_atom_site_fract_x
_atom_site_fract_y
_atom_site_fract_z
Mo1 0.000 0.000 0.000
Mo2 0.500 0.500 0.000
Tc1 0.500 0.000 0.500
Y1 0.000 0.500 0.500



Record 2
# YTc2Mo | the Alexandria database | PBEsol | optimized geometry
# **Symmetry**: R-3m
data_YTc2Mo
_symmetry_space_group_name_H-M 'P 1'
_symmetry_Int_Tables_number 1
_symmetry_space_group_name_Hall 'P 1'
_cell_length_a 3.048
_cell_length_b 3.048
_cell_length_c 8.681
_cell_angle_alpha 79.89
_cell_angle_beta 79.89
_cell_angle_gamma 60.00
loop_
_atom_site_label
_atom_site_fract_x
_atom_site_fract_y
_atom_site_fract_z
Mo1 0.000 0.000 0.000
Tc1 0.259 0.259 0.222
Tc2 0.741 0.741 0.778
Y1 0.500 0.500 0.500



Record 3
# YTcMo2 | the Alexandria database | PBEsol | optimized geometry
# **Polymorph energy (0 for the lowest one)**: 188 meV/atom
# **Symmetry**: R3m
data_YTcMo2
_symmetry_space_group_name_H-M 'P 1'
_symmetry_Int_Tables_number 1
_symmetry_space_group_name_Hall 'P 1'
_cell_length_a 3.053
_cell_length_b 3.053
_cell_length_c 8.870
_cell_angle_alpha 80.09
_cell_angle_beta 80.09
_cell_angle_gamma 60.00
loop_
_atom_site_label
_atom_site_fract_x
_atom_site_fract_y
_atom_site_fract_z
Mo1 0.010 0.010 0.969
Mo2 0.751 0.751 0.748
Tc1 0.490 0.490 0.529
Y1 0.249 0.249 0.254



Record 4
# ZnTcMo | the Alexandria database | PBEsol | optimized geometry
# **Polymorph energy (0 for the lowest one)**: 0 meV/atom
# **Symmetry**: I4mm
data_ZnTcMo
_symmetry_space_group_name_H-M 'P 1'
_symmetry_Int_Tables_number 1
_symmetry_space_group_name_Hall 'P 1'
_cell_length_a 3.152
_cell_length_b 3.152
_cell_length_c 4.854
_cell_angle_alpha 108.95
_cell_angle_beta 108.95
_cell_angle_gamma 90.00
loop_
_atom_site_label
_atom_site_fract_x
_atom_site_fract_y
_atom_site_fract_z
Zn1 0.332 0.332 0.664
Mo1 0.008 0.008 0.017
Tc1 0.660 0.660 0.320



Record 5
# ZnTcMo2 | the Alexandria database | PBEsol | optimized geometry
# **Symmetry**: Cmmm
data_ZnTcMo2
_symmetry_space_group_name_H-M 'P 1'
_symmetry_Int_Tables_number 1
_symmetry_space_group_name_Hall 'P 1'
_cell_length_a 2.684
_cell_length_b 4.837
_cell_length_c 4.837
_cell_angle_alpha 112.95
_cell_angle_beta 90.00
_cell_angle_gamma 90.00
loop_
_atom_site_label
_atom_site_fract_x
_atom_site_fract_y
_atom_site_fract_z
Mo1 0.000 0.500 0.000
Mo2 0.000 0.000 0.500
Tc1 0.500 0.000 0.000
Zn1 0.500 0.500 0.500



Record 6
# Zn2Tc2Mo | the Alexandria database | PBEsol | optimized geometry
# **Symmetry**: I4/mmm
data_Zn2Tc2Mo
_symmetry_space_group_name_H-M 'P 1'
_symmetry_Int_Tables_number 1
_symmetry_space_group_name_Hall 'P 1'
_cell_length_a 3.543
_cell_length_b 3.543
_cell_length_c 6.390
_cell_angle_alpha 106.10
_cell_angle_beta 106.10
_cell_angle_gamma 90.00
loop_
_atom_site_label
_atom_site_fract_x
_atom_site_fract_y
_atom_site_fract_z
Mo1 0.000 0.000 0.000
Tc1 0.250 0.750 0.500
Tc2 0.750 0.250 0.500
Zn1 0.594 0.594 0.188
Zn2 0.406 0.406 0.812



Record 7
# ZnTcMo | the Alexandria database | PBEsol | optimized geometry
# **Polymorph energy (0 for the lowest one)**: 778 meV/atom
# **Symmetry**: F-43m
data_ZnTcMo
_symmetry_space_group_name_H-M 'P 1'
_symmetry_Int_Tables_number 1
_symmetry_space_group_name_Hall 'P 1'
_cell_length_a 4.164
_cell_length_b 4.164
_cell_length_c 4.164
_cell_angle_alpha 60.00
_cell_angle_beta 60.00
_cell_angle_gamma 60.00
loop_
_atom_site_label
_atom_site_fract_x
_atom_site_fract_y
_atom_site_fract_z
Mo1 0.250 0.250 0.250
Tc1 0.000 0.000 0.000
Zn1 0.500 0.500 0.500



Record 8
# ZnTcMo | the Alexandria database | PBEsol | optimized geometry
# **Polymorph energy (0 for the lowest one)**: 28 meV/atom
# **Symmetry**: P3m1
data_ZnTcMo
_symmetry_space_group_name_H-M 'P 1'
_symmetry_Int_Tables_number 1
_symmetry_space_group_name_Hall 'P 1'
_cell_length_a 2.614
_cell_length_b 4.347
_cell_length_c 4.347
_cell_angle_alpha 120.00
_cell_angle_beta 90.00
_cell_angle_gamma 90.00
loop_
_atom_site_label
_atom_site_fract_x
_atom_site_fract_y
_atom_site_fract_z
Zn1 0.346 0.333 0.667
Mo1 0.952 0.000 0.000
Tc1 0.702 0.667 0.333



ΔH_f (0 K): 328; 405; 481; 35; 188; 606; 813; 62 (meV per atom)